A geometry-optimized CoTe2Se structure. Source: the Alexandria database, functional PBE.

Unit cell a=6.3036 b=6.3036 c=11.3921 alpha=90.00 beta=90.00 gamma=90.00
Last column: nearest neighbours and their distance in Å.
Space group I-42d (No. 122)
Inequivalent atoms, fractional coordinates:
Co (0.0000, 0.0000, 0.0000) x4  4 Te 2.40
Te (0.1768, 0.2500, 0.1250) x8  2 Co 2.40
Se (0.0000, 0.0000, 0.5000) x4  4 Te 2.94

Results
For the formation energy from raw total energies, the calculation gives 141 meV/atom. The value obtained for the total magnetic moment is 0.0 Bohr magnetons per cell. The calculated volume is 28.29 Å³/atom.